[1]
# TbErZnHg | the Alexandria database | PBE | relaxed
data_TbErZnHg
_cell_length_a 7.2963
_cell_length_b 7.2963
_cell_length_c 7.2963
_cell_angle_alpha 90.00
_cell_angle_beta 90.00
_cell_angle_gamma 90.00
_symmetry_space_group_name_H-M 'F -4 3 m'
_symmetry_Int_Tables_number 216
_symmetry_space_group_name_Hall 'F -4 2 3'
loop_
_atom_site_label
_atom_site_type_symbol
_atom_site_fract_x
_atom_site_fract_y
_atom_site_fract_z
Tb1 Tb 0.0000 0.0000 0.0000
Er1 Er 0.0000 0.0000 0.5000
Zn1 Zn 0.2500 0.2500 0.7500
Hg1 Hg 0.2500 0.2500 0.2500
# - Crystal system: cubic
# - Relative energy among the computed polymorphs: 19.0 meV/atom
# - DFT total energy: -3.0879 eV per atom

---

[2]
# Er5TcHg | the Alexandria database | PBE | relaxed
data_Er5TcHg
_cell_length_a 9.2034
_cell_length_b 7.2150
_cell_length_c 11.8150
_cell_angle_alpha 90.00
_cell_angle_beta 105.51
_cell_angle_gamma 90.00
_symmetry_space_group_name_H-M 'C 1 2/c 1'
_symmetry_Int_Tables_number 15
_symmetry_space_group_name_Hall '-C 2yc'
loop_
_atom_site_label
_atom_site_type_symbol
_atom_site_fract_x
_atom_site_fract_y
_atom_site_fract_z
Er1 Er 0.0000 0.0022 0.2500
Er2 Er 0.1255 0.3334 0.5663
Er3 Er 0.2485 0.1720 0.1263
Tc1 Tc 0.0000 0.0000 0.0000
Hg1 Hg 0.0000 0.4174 0.2500
# - Crystal system: monoclinic
# - DFT total energy: -4.8357 eV per atom

---

[3]
# Er5Tc2Hg2 | the Alexandria database | PBE | relaxed
data_Er5Tc2Hg2
_cell_length_a 16.5388
_cell_length_b 7.2782
_cell_length_c 7.4055
_cell_angle_alpha 90.00
_cell_angle_beta 90.00
_cell_angle_gamma 90.00
_symmetry_space_group_name_H-M 'C m c e'
_symmetry_Int_Tables_number 64
_symmetry_space_group_name_Hall '-C 2ac 2'
loop_
_atom_site_label
_atom_site_type_symbol
_atom_site_fract_x
_atom_site_fract_y
_atom_site_fract_z
Er1 Er 0.0000 0.0000 0.0000
Er2 Er 0.1254 0.1794 0.3206
Tc1 Tc 0.0000 0.1127 0.6191
Hg1 Hg 0.2217 0.0000 0.0000
# - Crystal system: orthorhombic
# - DFT total energy: -5.1659 eV per atom

---

Number 1: energy of formation -396 meV/atom. Number 2: energy of formation -53 meV/atom. Number 3: energy of formation -260 meV/atom.